(1)
A geometry-optimized Ta2TiSe5 structure. Source: the Alexandria database, functional GGA-PBE.

a = 5.057 Å, b = 6.591 Å, c = 11.339 Å
α = 90.00°, β = 90.00°, γ = 112.56°
Sites, in units of the cell vectors:
Ta 0.855 0.710 0.390
Ta 0.855 0.710 0.110
Ta 0.145 0.290 0.610
Ta 0.145 0.290 0.890
Ti 0.768 0.535 0.750
Ti 0.232 0.465 0.250
Se 0.939 0.879 0.887
Se 0.939 0.879 0.613
Se 0.330 0.660 0.450
Se 0.330 0.660 0.050
Se 0.687 0.373 0.250
Se 0.313 0.627 0.750
Se 0.670 0.340 0.550
Se 0.670 0.340 0.950
Se 0.061 0.121 0.113
Se 0.061 0.121 0.387

## Properties
Raw formation energy, eV/atom: -0.635
V, Å³ per atom: 21.82

---

(2)
A geometry-optimized Pm5N4F structure. Source: the Alexandria database, functional GGA-PBE.

a = 3.625 Å, b = 3.625 Å, c = 12.984 Å
α = 98.03°, β = 98.03°, γ = 90.00°
Sites, in units of the cell vectors:
Pm 0.106 0.106 0.212
Pm 0.500 0.500 0.000
Pm 0.894 0.894 0.788
Pm 0.298 0.298 0.596
Pm 0.702 0.702 0.404
N 0.404 0.404 0.807
N 0.801 0.801 0.602
N 0.199 0.199 0.398
N 0.596 0.596 0.193
F 0.000 0.000 0.000

## Properties
Raw formation energy, eV/atom: -1.640
V, Å³ per atom: 16.73

---

(3)
A geometry-optimized PPdRuN structure. Source: the Alexandria database, functional GGA-PBE.

a = 4.273 Å, b = 3.030 Å, c = 9.110 Å
α = 90.00°, β = 107.21°, γ = 90.00°
Sites, in units of the cell vectors:
P 0.331 0.000 0.715
P 0.331 0.500 0.215
Pd 0.320 0.000 0.409
Pd 0.320 0.500 0.909
Ru 0.918 0.000 0.096
Ru 0.918 0.500 0.596
N 0.643 0.000 0.638
N 0.643 0.500 0.138

## Properties
Raw formation energy, eV/atom: 0.072
Relative energy among the computed polymorphs, meV per atom: 5.9
V, Å³ per atom: 14.08

---

(4)
A geometry-optimized InTcNi2 structure. Source: the Alexandria database, functional GGA-PBE.

a = 4.465 Å, b = 4.465 Å, c = 4.465 Å
α = 125.57°, β = 125.54°, γ = 80.62°
Each line ends with the local moment (μB).
Sites, in units of the cell vectors:
In 0.250 0.750 0.500  -0.03
Ni 0.000 0.000 0.000  0.29
Ni 0.500 0.500 0.000  0.29
Tc 0.750 0.250 0.500  1.21

## Properties
V, Å³ per atom: 14.21
Energy of formation, eV per atom: 0.16